1.
# CuAsRh2W

Crystalline CuAsRh2W at its relaxed geometry (GGA-PBE, Alexandria).

The structure in extended XYZ format:
```
5
Lattice="4.510 0.000 0.000 0.000 4.510 0.000 0.000 0.000 4.217" Properties=species:S:1:pos:R:3 pbc="T T T"
Cu 0.000 0.000 0.000
As 0.000 0.000 2.109
Rh 0.000 2.255 0.000
Rh 2.255 0.000 0.000
W 2.255 2.255 2.109
```

Summary:
E_tot: -5.93 eV/atom
Energy relative to the elements: 1.3465 eV/atom
Spin magnetization: 0.059 Bohr magnetons per cell
D(E_F): 8.72 states/eV/f.u.

---

2.
# CrSbTe4

Crystalline CrSbTe4 at its relaxed geometry (GGA-PBE, Alexandria).

The structure in extended XYZ format:
```
6
Lattice="0.000 4.465 4.465 4.465 0.000 4.465 4.465 4.465 0.000" Properties=species:S:1:pos:R:3 pbc="T T T"
Cr 0.000 0.000 0.000
Sb 6.698 6.698 6.698
Te 3.350 3.350 3.350
Te 5.580 5.580 3.350
Te 5.580 3.350 5.580
Te 3.350 5.580 5.580
```

Summary:
E_tot: -3.65 eV/atom
E_form (uncorrected): 0.739 eV per atom
Spin magnetization: 4.417 Bohr magnetons per cell
D(E_F): 4.95 states/eV/f.u.
E above lowest polymorph: 5.08 eV/f.u.

---

3.
# CaSi2Au

Crystalline CaSi2Au at its relaxed geometry (GGA-PBE, Alexandria).

The structure in extended XYZ format:
```
4
Lattice="3.389 0.000 0.000 0.000 3.389 0.000 0.000 0.000 6.746" Properties=species:S:1:pos:R:3 pbc="T T T"
Ca 0.000 0.000 0.000
Si 0.000 0.000 3.133
Si 1.694 1.694 2.138
Au 1.694 1.694 4.770
```

Summary:
E_tot: -4.17 eV/atom
E_form (uncorrected): -0.143 eV per atom
Spin magnetization: 0.000 Bohr magnetons per cell
D(E_F): 1.56 states/eV/f.u.

---

4.
# Y6Al3S14

Crystalline Y6Al3S14 at its relaxed geometry (GGA-PBE, Alexandria).

The structure in extended XYZ format:
```
23
Lattice="9.588 0.000 0.000 -4.794 8.303 0.000 0.000 0.000 6.172" Properties=species:S:1:pos:R:3 pbc="T T T"
Y -1.980 4.040 0.000
Y 1.907 1.492 3.040
Y -0.305 7.998 0.000
Y 2.285 4.568 0.000
Y 7.342 0.906 3.040
Y 5.133 5.906 3.040
Al 0.000 0.000 0.407
Al 0.000 5.536 3.531
Al 4.794 2.768 4.147
S 0.000 0.000 4.344
S -0.245 2.025 1.367
S -2.918 7.503 1.367
S -1.850 6.367 4.501
S 0.205 3.518 4.501
S 0.000 5.536 1.287
S 3.010 1.915 5.500
S 4.620 0.784 2.633
S 3.163 3.911 2.633
S 1.645 6.722 4.501
S 3.162 7.079 1.367
S 6.425 1.649 5.500
S 4.947 4.739 5.500
S 6.599 3.609 2.633
```

Summary:
E_tot: -6.36 eV/atom
E_form (uncorrected): -1.672 eV per atom
Spin magnetization: 0.000 Bohr magnetons per cell
D(E_F): 10.09 states/eV/f.u.

---

5.
# ErGa2Rh2

Crystalline ErGa2Rh2 at its relaxed geometry (GGA-PBE, Alexandria).

The structure in extended XYZ format:
```
10
Lattice="4.566 0.000 0.000 0.000 4.421 0.000 -1.058 0.000 8.773" Properties=species:S:1:pos:R:3 pbc="T T T"
Er 0.701 1.105 2.321
Er 2.806 3.316 6.453
Ga 0.591 1.105 5.606
Ga 0.480 3.316 8.749
Ga 3.028 1.105 0.024
Ga 2.917 3.316 3.167
Rh -0.344 1.105 7.878
Rh 0.632 3.316 4.292
Rh 2.876 1.105 4.481
Rh 3.852 3.316 0.895
```

Summary:
E_tot: -5.86 eV/atom
Energy relative to the elements: -0.8000 eV/atom
Spin magnetization: 0.000 Bohr magnetons per cell
D(E_F): 2.10 states/eV/f.u.

---

6.
# ZrCdPb2

Crystalline ZrCdPb2 at its relaxed geometry (GGA-PBE, Alexandria).

The structure in extended XYZ format:
```
4
Lattice="-2.274 2.274 4.847 2.274 -2.274 4.847 2.274 2.274 -4.847" Properties=species:S:1:pos:R:3 pbc="T T T"
Zr 0.000 0.000 0.000
Cd 0.000 0.000 4.847
Pb 2.274 0.000 2.423
Pb 0.000 2.274 2.423
```

Summary:
E_tot: -4.20 eV/atom
Energy relative to the elements: 0.0225 eV/atom
Spin magnetization: 0.000 Bohr magnetons per cell
D(E_F): 1.67 states/eV/f.u.

---

7.
# In2Ag2Bi

Crystalline In2Ag2Bi at its relaxed geometry (GGA-PBE, Alexandria).

The structure in extended XYZ format:
```
10
Lattice="8.327 0.000 0.000 0.000 8.327 0.000 0.000 0.000 3.443" Properties=species:S:1:pos:R:3 pbc="T T T"
In 1.398 2.765 0.000
In 2.765 6.929 0.000
In 5.561 1.398 0.000
In 6.929 5.561 0.000
Ag 1.057 5.221 1.721
Ag 3.106 1.057 1.721
Ag 5.221 7.270 1.721
Ag 7.270 3.106 1.721
Bi 0.000 0.000 1.721
Bi 4.163 4.163 1.721
```

Summary:
E_tot: -2.97 eV/atom
Energy relative to the elements: 0.0437 eV/atom
Spin magnetization: 0.000 Bohr magnetons per cell
D(E_F): 2.38 states/eV/f.u.
E above lowest polymorph: 0.00 eV/f.u.

---

8.
# Ba3Bi

Crystalline Ba3Bi at its relaxed geometry (GGA-PBE, Alexandria).

The structure in extended XYZ format:
```
4
Lattice="4.977 0.000 0.000 0.000 4.983 0.000 0.000 0.000 9.088" Properties=species:S:1:pos:R:3 pbc="T T T"
Ba 0.000 0.000 0.000
Ba 0.000 2.491 3.023
Ba 2.488 2.491 6.054
Bi 2.488 0.000 3.029
```

Summary:
E_tot: -2.77 eV/atom
Energy relative to the elements: -0.3527 eV/atom
Spin magnetization: 0.497 Bohr magnetons per cell
D(E_F): 4.09 states/eV/f.u.
E above lowest polymorph: 0.56 eV/f.u.

---

9.
# Tb2Dy3Th3

Crystalline Tb2Dy3Th3 at its relaxed geometry (GGA-PBE, Alexandria).

The structure in extended XYZ format:
```
8
Lattice="9.082 0.000 0.000 -4.541 7.865 0.000 0.000 0.000 3.610" Properties=species:S:1:pos:R:3 pbc="T T T"
Tb 0.000 5.243 0.000
Tb 4.541 2.622 0.000
Dy -1.794 3.108 1.805
Dy 3.589 0.000 1.805
Dy 2.746 4.757 1.805
Th -3.508 6.076 0.000
Th 1.033 1.789 0.000
Th 7.016 0.000 0.000
```

Summary:
E_tot: -5.51 eV/atom
Energy relative to the elements: 0.1522 eV/atom
Spin magnetization: 0.000 Bohr magnetons per cell
D(E_F): 11.27 states/eV/f.u.

---

10.
# Lu3Pb

Crystalline Lu3Pb at its relaxed geometry (GGA-PBE, Alexandria).

The structure in extended XYZ format:
```
4
Lattice="0.000 3.809 3.809 3.809 0.000 3.809 3.809 3.809 0.000" Properties=species:S:1:pos:R:3 pbc="T T T"
Lu 0.000 0.000 0.000
Lu 1.905 1.905 1.905
Lu 5.714 5.714 5.714
Pb 3.809 3.809 3.809
```

Summary:
E_tot: -4.35 eV/atom
Energy relative to the elements: -0.0330 eV/atom
Spin magnetization: 0.710 Bohr magnetons per cell
D(E_F): 6.06 states/eV/f.u.

---

11.
# Tb4SmZn2

Crystalline Tb4SmZn2 at its relaxed geometry (GGA-PBE, Alexandria).

The structure in extended XYZ format:
```
7
Lattice="2.478 1.431 9.975 -2.478 1.431 9.975 0.000 -2.861 9.975" Properties=species:S:1:pos:R:3 pbc="T T T"
Tb 0.000 0.000 3.026
Tb 0.000 0.000 8.937
Tb 0.000 0.000 20.987
Tb 0.000 0.000 26.899
Sm 0.000 0.000 14.962
Zn 0.000 0.000 11.959
Zn 0.000 0.000 17.965
```

Summary:
E_tot: -3.55 eV/atom
Energy relative to the elements: 0.1375 eV/atom
Spin magnetization: 0.000 Bohr magnetons per cell
D(E_F): 12.15 states/eV/f.u.

---

12.
# Ho6Tm2Ru

Crystalline Ho6Tm2Ru at its relaxed geometry (GGA-PBE, Alexandria).

The structure in extended XYZ format:
```
9
Lattice="8.549 0.000 0.000 0.000 3.642 0.000 -0.508 0.000 8.613" Properties=species:S:1:pos:R:3 pbc="T T T"
Ho 0.212 0.000 1.705
Ho 1.716 1.821 4.765
Ho 3.654 0.000 2.408
Ho 4.386 0.000 6.205
Ho 6.324 1.821 3.848
Ho 7.829 0.000 6.908
Tm 2.078 1.821 8.327
Tm 5.963 1.821 0.286
Ru -0.254 0.000 4.306
```

Summary:
E_tot: -5.14 eV/atom
Energy relative to the elements: -0.0663 eV/atom
Spin magnetization: 0.000 Bohr magnetons per cell
D(E_F): 11.67 states/eV/f.u.

---

13.
# NaCdAs2

Crystalline NaCdAs2 at its relaxed geometry (GGA-PBE, Alexandria).

The structure in extended XYZ format:
```
8
Lattice="-4.042 4.042 2.861 4.042 -4.042 2.861 4.042 4.042 -2.861" Properties=species:S:1:pos:R:3 pbc="T T T"
Na 0.000 0.000 0.000
Na 0.000 4.042 1.430
Cd 4.042 0.000 1.430
Cd 0.000 0.000 2.861
As 2.021 2.385 -0.715
As 5.699 2.021 0.715
As 2.021 1.657 2.146
As -1.657 2.021 3.576
```

Summary:
E_tot: -2.88 eV/atom
Energy relative to the elements: 0.0042 eV/atom
Spin magnetization: 0.000 Bohr magnetons per cell
D(E_F): 3.36 states/eV/f.u.

---

14.
# TeMoC2

Crystalline TeMoC2 at its relaxed geometry (GGA-PBE, Alexandria).

The structure in extended XYZ format:
```
8
Lattice="-2.595 2.595 4.882 2.595 -2.595 4.882 2.595 2.595 -4.882" Properties=species:S:1:pos:R:3 pbc="T T T"
Te 0.000 0.000 0.000
Te 0.000 2.595 2.441
Mo 2.595 0.000 2.441
Mo 0.000 0.000 4.882
C 1.297 -0.916 3.661
C 1.679 1.297 1.220
C 1.297 3.511 -1.220
C 0.916 1.297 6.102
```

Summary:
E_tot: -6.90 eV/atom
E_form (uncorrected): 1.207 eV per atom
Spin magnetization: 0.000 Bohr magnetons per cell
D(E_F): 2.35 states/eV/f.u.

---

15.
# Fe2TcPdRu

Crystalline Fe2TcPdRu at its relaxed geometry (GGA-PBE, Alexandria).

The structure in extended XYZ format:
```
5
Lattice="4.362 0.000 0.000 0.000 4.362 0.000 0.000 0.000 4.829" Properties=species:S:1:pos:R:3 pbc="T T T"
Fe 0.000 2.181 0.000
Fe 2.181 0.000 0.000
Tc 0.000 0.000 2.415
Pd 2.181 2.181 2.415
Ru 2.181 2.181 0.000
```

Summary:
E_tot: -6.67 eV/atom
Energy relative to the elements: 1.6868 eV/atom
Spin magnetization: 7.691 Bohr magnetons per cell
D(E_F): 7.31 states/eV/f.u.

---

16.
# HfBIr2Os

Crystalline HfBIr2Os at its relaxed geometry (GGA-PBE, Alexandria).

The structure in extended XYZ format:
```
5
Lattice="4.144 0.000 0.000 0.000 4.144 0.000 0.000 0.000 4.170" Properties=species:S:1:pos:R:3 pbc="T T T"
Hf 0.000 0.000 0.000
B 2.072 2.072 2.085
Ir 0.000 2.072 2.085
Ir 2.072 0.000 2.085
Os 2.072 2.072 0.000
```

Summary:
E_tot: -9.64 eV/atom
Energy relative to the elements: -0.5267 eV/atom
Spin magnetization: 0.000 Bohr magnetons per cell
D(E_F): 2.29 states/eV/f.u.

---

17.
# Sm4I6O

Crystalline Sm4I6O at its relaxed geometry (GGA-PBE, Alexandria).

The structure in extended XYZ format:
```
22
Lattice="9.872 0.000 0.000 -4.936 8.550 0.000 0.000 0.000 8.531" Properties=species:S:1:pos:R:3 pbc="T T T"
Sm 0.000 3.448 0.000
Sm -1.950 6.826 0.000
Sm 0.000 5.700 5.908
Sm 2.986 1.724 4.265
Sm 1.950 6.826 0.000
Sm 4.936 2.850 1.642
Sm 6.886 1.724 4.265
Sm 4.936 5.102 4.265
I -2.084 4.497 2.713
I 0.000 2.313 5.390
I -2.933 7.393 5.390
I 2.003 1.156 1.124
I 2.084 4.497 2.713
I 0.000 8.106 2.713
I 4.936 0.444 6.978
I 2.852 4.053 6.978
I 2.933 7.393 5.390
I 7.869 1.156 1.124
I 4.936 6.237 1.124
I 7.020 4.053 6.978
O 0.000 5.700 8.322
O 4.936 2.850 4.057
```

Summary:
E_tot: -4.37 eV/atom
E_form (uncorrected): -1.361 eV per atom
Spin magnetization: 2.364 Bohr magnetons per cell
D(E_F): 8.00 states/eV/f.u.

---

18.
# CoP2SeCl

Crystalline CoP2SeCl at its relaxed geometry (GGA-PBE, Alexandria).

The structure in extended XYZ format:
```
5
Lattice="4.460 0.000 0.000 0.000 4.460 0.000 0.000 0.000 4.429" Properties=species:S:1:pos:R:3 pbc="T T T"
Co 0.000 0.000 0.000
P 0.000 2.230 0.000
P 2.230 0.000 0.000
Se 2.230 2.230 2.214
Cl 0.000 0.000 2.214
```

Summary:
E_tot: -4.20 eV/atom
E_form (uncorrected): 0.448 eV per atom
Spin magnetization: 0.000 Bohr magnetons per cell
D(E_F): 2.77 states/eV/f.u.
E above lowest polymorph: 0.00 eV/f.u.

---

19.
# Ac5In2Ag2

Crystalline Ac5In2Ag2 at its relaxed geometry (GGA-PBE, Alexandria).

The structure in extended XYZ format:
```
18
Lattice="8.587 -4.359 0.000 8.587 4.359 0.000 0.000 0.000 8.604" Properties=species:S:1:pos:R:3 pbc="T T T"
Ac 0.000 0.000 0.000
Ac 6.267 2.783 5.798
Ac 6.267 1.576 1.496
Ac 10.907 2.783 5.798
Ac 10.907 1.576 1.496
Ac 8.587 0.000 4.302
Ac 6.267 -1.576 7.108
Ac 6.267 -2.783 2.806
Ac 10.907 -1.576 7.108
Ac 10.907 -2.783 2.806
In 3.654 0.000 0.000
In 4.933 0.000 4.302
In 12.241 0.000 4.302
In 13.519 0.000 0.000
Ag 8.587 3.323 3.265
Ag 8.587 1.036 7.567
Ag 8.587 -1.036 1.037
Ag 8.587 -3.323 5.338
```

Summary:
E_tot: -3.76 eV/atom
Energy relative to the elements: -0.2392 eV/atom
Spin magnetization: 0.000 Bohr magnetons per cell
D(E_F): 9.64 states/eV/f.u.

---

20.
# Ba3Ca5Cl12

Crystalline Ba3Ca5Cl12 at its relaxed geometry (GGA-PBE, Alexandria).

The structure in extended XYZ format:
```
80
Lattice="-8.713 8.713 8.713 8.713 -8.713 8.713 8.713 8.713 -8.713" Properties=species:S:1:pos:R:3 pbc="T T T"
Ba 4.356 2.178 0.000
Ba 8.713 4.356 -2.178
Ba 2.178 0.000 4.356
Ba 10.891 0.000 4.356
Ba 0.000 4.356 2.178
Ba 4.356 -2.178 8.713
Ba 4.356 10.891 0.000
Ba 8.713 4.356 6.535
Ba -2.178 8.713 4.356
Ba 6.535 8.713 4.356
Ba 0.000 4.356 10.891
Ba 4.356 6.535 8.713
Ca 0.000 0.000 0.000
Ca 4.356 4.356 -4.356
Ca 4.356 -4.356 4.356
Ca 8.713 0.000 0.000
Ca 13.069 2.178 0.000
Ca 8.713 -4.356 6.535
Ca 6.535 8.713 -4.356
Ca 6.535 0.000 4.356
Ca 4.356 6.535 0.000
Ca 8.713 4.356 2.178
Ca -4.356 4.356 4.356
Ca 0.000 8.713 0.000
Ca 0.000 0.000 8.713
Ca 4.356 4.356 4.356
Ca 0.000 4.356 6.535
Ca 4.356 2.178 8.713
Ca 2.178 8.713 4.356
Ca 2.178 0.000 13.069
Ca 0.000 13.069 2.178
Ca -4.356 6.535 8.713
Cl 2.595 -0.333 1.026
Cl 10.474 5.382 -4.689
Cl 11.308 0.333 1.026
Cl 10.474 -3.330 4.689
Cl 8.380 -1.026 2.595
Cl 13.402 -1.761 3.330
Cl 1.026 2.595 -0.333
Cl 12.043 4.024 -1.761
Cl 5.382 4.689 -1.761
Cl 7.687 2.595 0.333
Cl -0.333 1.026 2.595
Cl 4.689 -1.761 5.382
Cl 8.380 7.687 -2.595
Cl 4.689 1.761 3.330
Cl 5.382 -4.689 10.474
Cl 7.687 -2.595 8.380
Cl 3.330 4.689 1.761
Cl 9.739 6.118 0.333
Cl 4.689 10.474 -3.330
Cl 8.380 1.026 6.118
Cl 2.595 8.380 -1.026
Cl 10.474 3.330 4.024
Cl 1.761 3.330 4.689
Cl 2.595 0.333 7.687
Cl 6.118 8.380 1.026
Cl 6.951 5.382 4.024
Cl -1.761 5.382 4.689
Cl 6.118 0.333 9.739
Cl 0.333 7.687 2.595
Cl 4.024 -1.761 12.043
Cl -1.026 2.595 8.380
Cl 5.382 4.024 6.951
Cl 1.026 11.308 0.333
Cl 3.330 13.402 -1.761
Cl 4.024 6.951 5.382
Cl 0.333 1.026 11.308
Cl 4.024 10.474 3.330
Cl 9.045 7.687 6.118
Cl 1.026 6.118 8.380
Cl 3.330 4.024 10.474
Cl -3.330 4.689 10.474
Cl 7.687 6.118 9.045
Cl -4.689 10.474 5.382
Cl 0.333 9.739 6.118
Cl -1.761 12.043 4.024
Cl -2.595 8.380 7.687
Cl -1.761 3.330 13.402
Cl 6.118 9.045 7.687
```

Summary:
E_tot: -3.91 eV/atom
E_form (uncorrected): -2.008 eV per atom
Spin magnetization: 12.348 Bohr magnetons per cell
D(E_F): 12.57 states/eV/f.u.